1.
A relaxed Tb2Al3Au crystal. Source: Alexandria, functional GGA-PBE.

Structure (POSCAR):
```
Tb2Al3Au
1.0
-1.305 2.092 5.250
-1.436 -4.773 2.966
8.889 0.458 -1.887
Tb Al Au
4 6 2
direct
0.747 0.253 0.000
0.253 0.747 0.000
0.250 0.750 0.500
0.750 0.250 0.500
0.834 0.834 0.669
0.831 0.831 0.166
0.169 0.169 0.834
0.665 0.665 0.834
0.166 0.166 0.331
0.335 0.335 0.166
0.331 0.331 0.662
0.669 0.669 0.338
```

## Properties
Its density of states at the Fermi level is 7.93 states/eV/cell. The energy of formation is -619.6 meV/atom.

***

2.
A relaxed TbAl5Au7 crystal. Source: Alexandria, functional GGA-PBE.

Structure (POSCAR):
```
TbAl5Au7
1.0
5.548 0.000 0.000
2.774 6.485 -0.086
2.774 -0.107 6.484
Al Au Tb
5 7 1
direct
0.008 0.490 0.004
0.497 0.004 0.490
0.497 0.490 0.004
0.008 0.004 0.490
0.740 0.760 0.760
0.985 0.681 0.348
0.517 0.174 0.791
0.268 0.232 0.232
0.517 0.791 0.174
0.985 0.348 0.681
0.666 0.334 0.334
0.314 0.686 0.686
0.995 0.005 0.005
```

## Properties
Its density of states at the Fermi level is 3.48 states/eV/cell. The energy of formation is -486.4 meV/atom.

***

3.
A relaxed Tb3Al8Au3 crystal. Source: Alexandria, functional GGA-PBE.

Structure (POSCAR):
```
Tb3Al8Au3
1.0
-1.656 1.112 -3.903
-6.997 -4.458 -0.762
-6.409 4.967 1.674
Au Tb Al
3 3 8
direct
0.347 0.292 0.014
0.000 0.500 0.500
0.653 0.708 0.986
0.700 0.302 0.297
0.300 0.698 0.703
0.000 0.000 0.000
0.856 0.425 0.864
0.503 0.306 0.688
0.342 0.034 0.283
0.140 0.140 0.580
0.497 0.694 0.312
0.860 0.860 0.420
0.658 0.966 0.717
0.144 0.575 0.136
```

## Properties
Its density of states at the Fermi level is 7.28 states/eV/cell. The relative energy among the computed polymorphs is 0 meV/atom. The energy of formation is -581.6 meV/atom.

***

4.
A relaxed Tb4Al12Au crystal. Source: Alexandria, functional GGA-PBE.

Structure (POSCAR):
```
Tb4Al12Au
1.0
7.109 0.000 -2.514
-3.555 6.157 -2.514
0.000 0.000 7.541
Al Tb Au
12 4 1
direct
0.301 0.000 0.301
0.750 0.250 0.500
0.301 0.301 0.000
0.750 0.500 0.250
0.699 0.699 0.000
0.250 0.500 0.750
0.699 0.000 0.699
0.000 0.699 0.699
0.500 0.750 0.250
0.250 0.750 0.500
0.500 0.250 0.750
0.000 0.301 0.301
0.000 0.500 0.000
0.500 0.000 0.000
0.500 0.500 0.500
0.000 0.000 0.500
0.000 0.000 0.000
```

## Properties
Its density of states at the Fermi level is 2.87 states/eV/cell. The energy of formation is -486.3 meV/atom.

***

5.
A relaxed TbAl2Au2 crystal. Source: Alexandria, functional GGA-PBE.

Structure (POSCAR):
```
TbAl2Au2
1.0
4.346 0.000 0.000
0.000 4.346 0.000
0.000 0.000 10.530
Au Tb Al
4 2 4
direct
0.500 0.500 0.000
0.500 0.000 0.367
0.000 0.000 0.000
0.000 0.500 0.633
0.000 0.500 0.248
0.500 0.000 0.752
0.500 0.000 0.133
0.000 0.500 0.867
0.000 0.000 0.500
0.500 0.500 0.500
```

## Properties
Its density of states at the Fermi level is 3.23 states/eV/cell. The energy of formation is -719.3 meV/atom.

***

6.
A relaxed Tb2AlAu4 crystal. Source: Alexandria, functional GGA-PBE.

Structure (POSCAR):
```
Tb2AlAu4
1.0
-2.447 -3.053 -2.340
-1.275 -3.926 1.935
-9.626 -0.928 2.451
Au Al Tb
4 1 2
direct
0.371 0.371 0.444
0.393 0.393 0.909
0.607 0.607 0.091
0.629 0.629 0.556
0.000 0.000 0.000
0.848 0.848 0.723
0.152 0.152 0.277
```

## Properties
Its density of states at the Fermi level is 3.29 states/eV/cell. The energy of formation is -727.9 meV/atom.

***

7.
A relaxed TbAlAu3 crystal. Source: Alexandria, functional GGA-PBE.

Structure (POSCAR):
```
TbAlAu3
1.0
5.437 0.000 0.094
0.000 5.901 0.000
-1.204 -2.951 6.111
Au Tb Al
6 2 2
direct
0.305 0.396 0.279
0.834 0.183 0.365
0.695 0.604 0.721
0.305 0.884 0.279
0.166 0.817 0.635
0.695 0.116 0.721
0.217 0.395 0.790
0.783 0.605 0.210
0.000 0.000 0.000
0.500 0.000 0.000
```

## Properties
Its density of states at the Fermi level is 4.70 states/eV/cell. The energy of formation is -653.0 meV/atom.

***

8.
A relaxed Tb2Al3Au5 crystal. Source: Alexandria, functional GGA-PBE.

Structure (POSCAR):
```
Tb2Al3Au5
1.0
6.154 0.000 0.000
3.077 8.144 -0.199
3.077 1.059 8.077
Au Tb Al
10 4 6
direct
0.902 0.936 0.261
0.598 0.739 0.064
0.518 0.232 0.232
0.018 0.232 0.232
0.482 0.768 0.768
0.250 0.500 0.500
0.750 0.500 0.500
0.098 0.064 0.739
0.402 0.261 0.936
0.982 0.768 0.768
0.134 0.595 0.137
0.366 0.863 0.405
0.634 0.137 0.595
0.866 0.405 0.863
0.250 0.000 0.000
0.134 0.251 0.480
0.366 0.520 0.749
0.750 0.000 0.000
0.634 0.480 0.251
0.866 0.749 0.520
```

## Properties
Its density of states at the Fermi level is 10.76 states/eV/cell. The relative energy among the computed polymorphs is 0 meV/atom. The energy of formation is -661.2 meV/atom.

***

9.
A relaxed Tb3Al5Au6 crystal. Source: Alexandria, functional GGA-PBE.

Structure (POSCAR):
```
Tb3Al5Au6
1.0
-1.103 4.237 -0.553
-6.388 -2.504 -6.449
-9.174 -1.144 9.531
Au Al Tb
12 10 6
direct
0.500 0.584 0.000
0.000 0.624 0.336
0.000 0.968 0.859
0.500 0.032 0.359
0.000 0.416 0.500
0.500 0.952 0.000
0.500 0.376 0.164
0.000 0.968 0.141
0.500 0.376 0.836
0.000 0.624 0.664
0.500 0.032 0.641
0.000 0.048 0.500
0.000 0.895 0.668
0.000 0.522 0.135
0.500 0.478 0.635
0.000 0.895 0.332
0.500 0.478 0.365
0.000 0.758 0.000
0.500 0.105 0.832
0.500 0.242 0.500
0.000 0.522 0.865
0.500 0.105 0.168
0.000 0.253 0.302
0.500 0.747 0.802
0.000 0.236 0.000
0.000 0.253 0.698
0.500 0.747 0.198
0.500 0.764 0.500
```

## Properties
Its density of states at the Fermi level is 16.66 states/eV/cell. The energy of formation is -696.3 meV/atom.

***

10.
A relaxed TbAlAu3 crystal. Source: Alexandria, functional GGA-PBE.

Structure (POSCAR):
```
TbAlAu3
1.0
6.352 0.000 0.000
0.000 4.788 0.000
0.000 0.000 6.547
Au Al Tb
6 2 2
direct
0.872 0.976 0.701
0.120 0.476 0.490
0.528 0.976 0.412
0.776 0.476 0.201
0.527 0.976 0.990
0.120 0.476 0.912
0.258 0.976 0.701
0.389 0.476 0.201
0.044 0.976 0.201
0.604 0.476 0.701
```

## Properties
Its density of states at the Fermi level is 4.61 states/eV/cell. The energy of formation is -654.9 meV/atom.

***

11.
A relaxed TbThAl2Au2 crystal. Source: Alexandria, functional GGA-PBE.

Structure (POSCAR):
```
TbThAl2Au2
1.0
4.542 0.000 0.000
-2.271 3.934 0.000
0.000 0.000 7.540
Au Al Th Tb
2 2 1 1
direct
0.333 0.667 0.265
0.667 0.333 0.735
0.333 0.667 0.737
0.667 0.333 0.263
0.000 0.000 0.000
0.000 0.000 0.500
```

## Properties
Its density of states at the Fermi level is 4.51 states/eV/cell. The energy of formation is -680.3 meV/atom.

***

12.
A relaxed Tb2TiAl4Au3 crystal. Source: Alexandria, functional GGA-PBE.

Structure (POSCAR):
```
Tb2TiAl4Au3
1.0
-0.648 -2.862 -3.019
3.062 -2.397 1.615
-7.536 -5.209 6.555
Tb Al Au Ti
2 4 3 1
direct
0.500 0.000 0.252
0.000 0.500 0.748
0.500 0.000 0.644
0.000 0.500 0.356
0.500 0.500 0.000
0.000 0.000 0.000
0.000 0.000 0.500
0.500 0.000 0.866
0.000 0.500 0.134
0.500 0.500 0.500
```

## Properties
Its density of states at the Fermi level is 6.17 states/eV/cell. The energy of formation is -606.2 meV/atom.

***

13.
A relaxed TbTm2AlAu4 crystal. Source: Alexandria, functional GGA-PBE.

Structure (POSCAR):
```
TbTm2AlAu4
1.0
-0.153 4.835 0.773
-3.856 2.604 -1.530
-5.061 1.207 6.970
Tm Au Al Tb
2 4 1 1
direct
0.243 0.243 0.271
0.757 0.757 0.729
0.385 0.385 0.844
0.877 0.877 0.368
0.123 0.123 0.632
0.615 0.615 0.156
0.500 0.500 0.500
0.000 0.000 0.000
```

## Properties
Its density of states at the Fermi level is 3.15 states/eV/cell. The energy of formation is -770.9 meV/atom.

***

14.
A relaxed TbAl2ZnAu4 crystal. Source: Alexandria, functional GGA-PBE.

Structure (POSCAR):
```
TbAl2ZnAu4
1.0
4.430 0.000 0.000
2.215 3.836 0.000
2.215 1.279 8.792
Al Tb Au Zn
2 1 4 1
direct
0.243 0.243 0.270
0.757 0.757 0.730
0.000 0.000 0.000
0.132 0.132 0.604
0.395 0.395 0.814
0.868 0.868 0.396
0.605 0.605 0.186
0.500 0.500 0.500
```

## Properties
Its density of states at the Fermi level is 2.95 states/eV/cell. The energy of formation is -512.2 meV/atom.

***

15.
A relaxed TbAl2ZnAu5 crystal. Source: Alexandria, functional GGA-PBE.

Structure (POSCAR):
```
TbAl2ZnAu5
1.0
-4.392 1.862 0.396
-1.896 -4.368 -0.491
0.283 -1.010 7.889
Au Al Zn Tb
5 2 1 1
direct
0.500 0.000 0.265
0.000 0.500 0.735
0.500 0.500 0.500
0.500 0.000 0.735
0.000 0.500 0.265
0.500 0.500 0.842
0.500 0.500 0.158
0.000 0.000 0.000
0.000 0.000 0.500
```

## Properties
Its density of states at the Fermi level is 4.39 states/eV/cell. The energy of formation is -308.0 meV/atom.

***

16.
A relaxed TbAl2ZnAu2 crystal. Source: Alexandria, functional GGA-PBE.

Structure (POSCAR):
```
TbAl2ZnAu2
1.0
-1.360 -2.322 -3.498
-2.207 -0.258 3.813
-3.923 5.191 -1.920
Al Tb Au Zn
2 1 2 1
direct
0.333 0.667 0.306
0.667 0.333 0.694
0.000 0.000 0.000
0.333 0.667 0.724
0.667 0.333 0.276
0.000 0.000 0.500
```

## Properties
Its density of states at the Fermi level is 2.00 states/eV/cell. The energy of formation is -544.8 meV/atom.

***

17.
A relaxed Tb2AlZn3Au4 crystal. Source: Alexandria, functional GGA-PBE.

Structure (POSCAR):
```
Tb2AlZn3Au4
1.0
4.148 0.000 0.000
0.000 4.148 0.000
0.000 0.000 11.551
Zn Al Au Tb
3 1 4 2
direct
0.500 0.000 0.861
0.000 0.500 0.139
0.000 0.000 0.500
0.500 0.500 0.500
0.000 0.500 0.358
0.000 0.000 0.000
0.500 0.000 0.642
0.500 0.500 0.000
0.500 0.000 0.247
0.000 0.500 0.753
```

## Properties
Its density of states at the Fermi level is 4.63 states/eV/cell. The energy of formation is -537.9 meV/atom.

***

18.
A relaxed TbAlZn3Au crystal. Source: Alexandria, functional GGA-PBE.

Structure (POSCAR):
```
TbAlZn3Au
1.0
5.819 0.000 0.000
0.000 6.156 0.000
0.000 -3.078 6.441
Tb Au Zn Al
2 2 6 2
direct
0.250 0.700 0.400
0.750 0.300 0.600
0.750 0.664 0.328
0.250 0.336 0.672
0.000 0.698 0.000
0.500 0.698 0.000
0.500 0.302 0.000
0.000 0.302 0.000
0.250 0.129 0.258
0.750 0.871 0.742
0.750 0.077 0.154
0.250 0.923 0.846
```

## Properties
Its density of states at the Fermi level is 3.06 states/eV/cell. The energy of formation is -186.9 meV/atom.

***

19.
A relaxed Tb2Al3Zn4Au crystal. Source: Alexandria, functional GGA-PBE.

Structure (POSCAR):
```
Tb2Al3Zn4Au
1.0
4.157 0.000 0.000
0.000 4.157 0.000
0.000 0.000 10.944
Au Zn Al Tb
1 4 3 2
direct
0.500 0.500 0.500
0.000 0.500 0.356
0.500 0.500 0.000
0.500 0.000 0.644
0.000 0.000 0.000
0.000 0.500 0.134
0.500 0.000 0.866
0.000 0.000 0.500
0.500 0.000 0.246
0.000 0.500 0.754
```

## Properties
Its density of states at the Fermi level is 6.98 states/eV/cell. The energy of formation is -394.6 meV/atom.

***

20.
A relaxed TbAlZn2Au5 crystal. Source: Alexandria, functional GGA-PBE.

Structure (POSCAR):
```
TbAlZn2Au5
1.0
4.760 0.000 0.000
0.000 5.798 0.000
-2.380 -2.899 6.856
Al Zn Au Tb
1 2 5 1
direct
0.500 0.000 0.000
0.188 0.188 0.376
0.812 0.812 0.624
0.651 0.889 0.301
0.000 0.000 0.000
0.349 0.111 0.699
0.349 0.588 0.699
0.651 0.412 0.301
0.000 0.500 0.000
```

## Properties
Its density of states at the Fermi level is 4.31 states/eV/cell. The energy of formation is -245.1 meV/atom.

***

21.
A relaxed Tb2Al4Zn3Au crystal. Source: Alexandria, functional GGA-PBE.

Structure (POSCAR):
```
Tb2Al4Zn3Au
1.0
4.188 0.000 0.000
0.000 4.188 0.000
0.000 0.000 10.795
Al Tb Zn Au
4 2 3 1
direct
0.500 0.500 0.000
0.000 0.500 0.363
0.000 0.000 0.000
0.500 0.000 0.637
0.000 0.500 0.754
0.500 0.000 0.246
0.000 0.000 0.500
0.500 0.000 0.862
0.000 0.500 0.138
0.500 0.500 0.500
```

## Properties
Its density of states at the Fermi level is 3.62 states/eV/cell. The energy of formation is -458.2 meV/atom.